Computed, not measured: V3Re2W2 after structural relaxation at the GGA-PBE level of DFT.

Calculated values
distance to the lowest polymorph of the same formula = 0.000 eV per formula unit
formation energy = -0.208 eV/atom
energy = -11.37 eV per atom

Cell lengths 5.109, 5.109, 6.880 Å; angles 97.74, 97.74, 35.03 degrees
Sites, in units of the cell vectors:
V1 0.000 0.000 0.000
V2 0.144 0.144 0.430
V3 0.856 0.856 0.570
Re1 0.287 0.287 0.855
Re2 0.713 0.713 0.145
W1 0.430 0.430 0.287
W2 0.570 0.570 0.713